# 1
Cd4FeAs: relaxed, PBE-GGA.

SG: F-43m (216)
DOS(E_F) (states/eV per atom): 1.149

Structure (POSCAR):
```
Cd4FeAs
1.0
0.000 3.995 3.995
3.995 0.000 3.995
3.995 3.995 0.000
Cd Fe As
4 1 1
direct
0.125 0.125 0.125 Cd
0.125 0.125 0.626 Cd
0.125 0.626 0.125 Cd
0.626 0.125 0.125 Cd
0.750 0.750 0.750 Fe
0.500 0.500 0.500 As
```

***

# 2
CdFeAs2: relaxed, PBE-GGA.

SG: Cmmm (65)
DOS(E_F) (states/eV per atom): 0.846

Structure (POSCAR):
```
CdFeAs2
1.0
2.833 -3.627 0.000
2.833 3.627 0.000
0.000 0.000 3.534
Cd Fe As
1 1 2
direct
0.000 0.000 0.000 Cd
0.500 0.500 0.000 Fe
0.000 0.500 0.500 As
0.500 0.000 0.500 As
```

***

# 3
CdFeAs4: relaxed, PBE-GGA.

SG: F-43m (216)
DOS(E_F) (states/eV per atom): 0.699

Structure (POSCAR):
```
CdFeAs4
1.0
0.000 3.920 3.920
3.920 0.000 3.920
3.920 3.920 0.000
Cd Fe As
1 1 4
direct
0.000 0.000 0.000 Cd
0.750 0.750 0.750 Fe
0.375 0.375 0.375 As
0.375 0.375 0.874 As
0.375 0.874 0.375 As
0.874 0.375 0.375 As
```

***

# 4
CdFe2As: relaxed, PBE-GGA.

Distance to the lowest polymorph of the same formula (meV per atom): 130
SG: Pmm2 (25)
DOS(E_F) (states/eV per atom): 0.729

Structure (POSCAR):
```
CdFe2As
1.0
3.010 0.000 0.000
0.000 4.082 0.000
0.000 0.000 5.229
Cd Fe As
1 2 1
direct
0.000 0.000 0.000 Cd
0.500 0.000 0.513 Fe
0.500 0.500 0.772 Fe
0.000 0.500 0.415 As
```

***

# 5
CdFeAs2: relaxed, PBE-GGA.

SG: Immm (71)
DOS(E_F) (states/eV per atom): 0.487

Structure (POSCAR):
```
CdFeAs2
1.0
-1.440 2.379 5.549
1.440 -2.379 5.549
1.440 2.379 -5.549
Cd Fe As
1 1 2
direct
0.000 0.000 0.000 Cd
0.500 0.500 0.000 Fe
0.326 0.826 0.500 As
0.674 0.174 0.500 As
```

***

# 6
CdFe2As: relaxed, PBE-GGA.

Distance to the lowest polymorph of the same formula (meV per atom): 123
SG: Cm (8)
DOS(E_F) (states/eV per atom): 0.575

Structure (POSCAR):
```
CdFe2As
1.0
4.094 -1.529 0.000
4.094 1.529 0.000
-0.802 0.000 5.283
Cd Fe As
1 2 1
direct
0.000 0.000 0.000 Cd
0.247 0.247 0.702 Fe
0.521 0.521 0.546 Fe
0.784 0.784 0.362 As
```

***

# 7
CdFe2As: relaxed, PBE-GGA.

Distance to the lowest polymorph of the same formula (meV per atom): 91
SG: P4/mmm (123)
DOS(E_F) (states/eV per atom): 1.186

Structure (POSCAR):
```
CdFe2As
1.0
3.007 0.000 0.000
0.000 3.007 0.000
0.000 0.000 6.522
Cd Fe As
1 2 1
direct
0.000 0.000 0.000 Cd
0.500 0.500 0.304 Fe
0.500 0.500 0.696 Fe
0.000 0.000 0.500 As
```

***

# 8
CdFeAs2: relaxed, PBE-GGA.

SG: F-43m (216)
DOS(E_F) (states/eV per atom): 1.341

Structure (POSCAR):
```
CdFeAs2
1.0
0.000 3.329 3.329
3.329 0.000 3.329
3.329 3.329 0.000
Cd Fe As
1 1 2
direct
0.000 0.000 0.000 Cd
0.250 0.250 0.250 Fe
0.500 0.500 0.500 As
0.750 0.750 0.750 As
```

***

# 9
CdFe2As: relaxed, PBE-GGA.

Distance to the lowest polymorph of the same formula (meV per atom): 186
SG: C2/m (12)
DOS(E_F) (states/eV per atom): 0.877

Structure (POSCAR):
```
CdFe2As
1.0
4.086 -1.520 0.000
4.086 1.520 0.000
-1.144 0.000 5.125
Cd Fe As
1 2 1
direct
0.000 0.000 0.000 Cd
0.241 0.241 0.681 Fe
0.759 0.759 0.319 Fe
0.500 0.500 0.500 As
```

***

# 10
CdFeAs2: relaxed, PBE-GGA.

SG: Pmm2 (25)
DOS(E_F) (states/eV per atom): 0.839

Structure (POSCAR):
```
CdFeAs2
1.0
2.913 0.000 0.000
0.000 3.668 0.000
0.000 0.000 7.473
Cd Fe As
1 1 2
direct
0.000 0.000 0.000 Cd
0.500 0.500 0.462 Fe
0.000 0.000 0.361 As
0.500 0.500 0.772 As
```

***

# 11
Cd2Fe2As: relaxed, PBE-GGA.

Distance to the lowest polymorph of the same formula (meV per atom): 397
SG: I4/mmm (139)
DOS(E_F) (states/eV per atom): 0.752

Structure (POSCAR):
```
Cd2Fe2As
1.0
-1.882 1.882 6.552
1.882 -1.882 6.552
1.882 1.882 -6.552
Cd Fe As
2 2 1
direct
0.250 0.750 0.500 Cd
0.750 0.250 0.500 Cd
0.084 0.084 0.000 Fe
0.916 0.916 0.000 Fe
0.500 0.500 0.000 As
```

***

# 12
CdFeAs2: relaxed, PBE-GGA.

SG: P4mm (99)
DOS(E_F) (states/eV per atom): 0.396

Structure (POSCAR):
```
CdFeAs2
1.0
2.924 0.000 0.000
0.000 2.924 0.000
0.000 0.000 8.151
Cd Fe As
1 1 2
direct
0.000 0.000 0.000 Cd
0.500 0.500 0.240 Fe
0.000 0.000 0.387 As
0.500 0.500 0.714 As
```

***

What are the formation enthalpy at 0 K values for these records? In order: 0.535; 0.389; 0.609; 0.241; 0.091; 0.234; 0.202; 0.564; 0.297; 0.154; 0.565; 0.186 eV per atom.
What are the raw total energy values for these records? In order: -0.1661; -0.3146; -0.2980; -0.3955; -0.3365; -0.3960; -0.3984; -0.3017; -0.3914; -0.3319; -0.3026; -0.3295 Ry/atom.